Below is a crystal of CoRuS4 relaxed with PBEsol, with properties calculated at the SCAN level.

Properties
- Energy relative to the elements, uncorrected: -0.56 eV/atom
- V: 166 Å³/cell
- Electronic total energy: -15.666 eV per atom
- Calculated density: 5.8 Mg/m³
- N(E_F): 0.2103 states/eV per atom

a b c (Å): 5.4661 5.5074 5.5152
angles (deg): 90.00 90.47 90.00
With the nearest neighbours (Å) after each atom.
Space group P2_1/c (No. 14)
Asymmetric unit:
Co 0.0000 0.0000 0.0000 [2 per cell]  6 S 2.25-2.30
Ru 0.5000 0.0000 0.5000 [2 per cell]  6 S 2.31-2.32
S 0.1099 0.1178 0.6153 [4 per cell]  1 S 2.17, 2 Co 2.28-2.30, 1 Ru 2.32
S 0.3801 0.6122 0.6123 [4 per cell]  1 S 2.19, 1 Co 2.25, 2 Ru 2.31-2.32